Entry 1:
Density functional theory data (PBE-GGA) for HoThBiTe after structural relaxation.

```
HoThBiTe
1.0
4.463 0.000 0.000
0.000 4.463 0.000
0.000 0.000 6.366
Th Bi Ho Te
1 1 1 1
Direct
0.000 0.000 0.500
0.000 0.000 0.000
0.500 0.500 0.000
0.500 0.500 0.500
```

As for the theoretical density: 9.61 g/cm3. The value obtained for the uncorrected formation energy is -0.903 eV/atom. As for the density of states at the Fermi level: 2.91 states/eV/cell. The energy above the most stable polymorph in this dataset is 0.0 kJ per mole of atoms. As for the space group: P4/mmm, No. 123. The value obtained for the total energy is -22.63 eV/cell.

=====

Entry 2:
Density functional theory data (PBE-GGA) for KReSe2N after structural relaxation.

```
KReSe2N
1.0
-2.185 -4.688 0.558
3.963 -2.156 -2.591
1.876 -0.485 3.273
K Se N Re
1 2 1 1
Direct
0.500 0.500 0.500
0.500 0.000 0.000
0.000 0.500 0.000
0.000 0.000 0.500
0.000 0.000 0.000
```

As for the theoretical density: 6.41 g/cm3. The value obtained for the uncorrected formation energy is -0.101 eV/atom. As for the density of states at the Fermi level: 2.45 states/eV/cell. The energy above the most stable polymorph in this dataset is 0.0 kJ per mole of atoms. As for the space group: P4/mmm, No. 123. The value obtained for the total energy is -29.34 eV/cell.

=====

Entry 3:
Density functional theory data (PBE-GGA) for Sr3YHo3Te8 after structural relaxation.

```
Sr3YHo3Te8
1.0
-3.324 -8.116 1.254
5.251 1.610 -6.953
3.699 -0.218 8.388
Te Sr Ho Y
8 3 3 1
Direct
0.257 0.514 0.271
0.753 0.507 0.269
0.743 0.486 0.729
0.246 0.984 0.730
0.262 0.016 0.270
0.247 0.493 0.731
0.738 0.984 0.730
0.754 0.016 0.270
0.000 0.000 0.000
0.500 0.500 0.000
0.000 0.500 0.000
0.500 0.500 0.500
0.500 0.000 0.500
0.000 0.500 0.500
0.000 0.000 0.500
```

As for the theoretical density: 5.99 g/cm3. The value obtained for the uncorrected formation energy is -1.509 eV/atom. As for the density of states at the Fermi level: 5.01 states/eV/cell. As for the space group: R-3m, No. 166. The value obtained for the total energy is -73.01 eV/cell.

=====

Entry 4:
Density functional theory data (PBE-GGA) for Si2AgBi after structural relaxation.

```
Si2AgBi
1.0
6.055 0.000 0.000
0.000 6.055 0.000
3.028 3.028 5.968
Si Bi Ag
4 2 2
Direct
0.585 0.125 0.250
0.375 0.415 0.750
0.165 0.625 0.250
0.875 0.835 0.750
0.000 0.000 0.000
0.750 0.250 0.500
0.250 0.750 0.500
0.500 0.500 0.000
```

As for the theoretical density: 5.66 g/cm3. The value obtained for the uncorrected formation energy is 0.538 eV/atom. As for the density of states at the Fermi level: 3.08 states/eV/cell. As for the space group: I-42d, No. 122. The value obtained for the total energy is -30.85 eV/cell.

=====

> Look up the theoretical density of the fourth one.

5.66 g/cm3

=====

> Look up the theoretical density of the first one.

9.61 g/cm3

=====

> Which value of theoretical density does entry 1 give?

9.61 g/cm3

=====

> The highest theoretical density belongs to which entry?

HoThBiTe